# AcAgPt4 | the Alexandria database | PBE | relaxed
# electronic total energy: -35.1 eV per cell
# spin magnetization: 0.00 μB/f.u.
# formation energy from the elements: -0.67 eV per atom
data_AcAgPt4
_space_group_name_H-M_alt 'P 1'
_space_group_IT_number 1
_cell_length_a 5.4958
_cell_length_b 5.4958
_cell_length_c 5.4958
_cell_angle_alpha 60.00
_cell_angle_beta 60.00
_cell_angle_gamma 60.00
loop_
_space_group_symop_operation_xyz
'x,y,z'
loop_
_atom_site_label
_atom_site_fract_x
_atom_site_fract_y
_atom_site_fract_z
_atom_site_occupancy
Pt1 0.6257 0.6257 0.1229 1
Pt2 0.1229 0.6257 0.6257 1
Pt3 0.6257 0.6257 0.6257 1
Pt4 0.6257 0.1229 0.6257 1
Ac1 0.2500 0.2500 0.2500 1
Ag1 0.0000 0.0000 0.0000 1

---

# Ac2Ag3Pt | the Alexandria database | PBE | relaxed
# electronic total energy: -25.9 eV per cell
# spin magnetization: 0.00 μB/f.u.
# formation energy from the elements: -0.51 eV per atom
data_Ac2Ag3Pt
_space_group_name_H-M_alt 'P 1'
_space_group_IT_number 1
_cell_length_a 3.9967
_cell_length_b 4.8650
_cell_length_c 8.2285
_cell_angle_alpha 90.00
_cell_angle_beta 90.00
_cell_angle_gamma 90.00
loop_
_space_group_symop_operation_xyz
'x,y,z'
loop_
_atom_site_label
_atom_site_fract_x
_atom_site_fract_y
_atom_site_fract_z
_atom_site_occupancy
Ag1 0.5000 0.5000 0.6689 1
Ag2 0.5000 0.0000 0.1634 1
Ag3 0.5000 0.0000 0.8286 1
Ac1 0.0000 0.5000 0.0269 1
Ac2 0.0000 0.0000 0.4818 1
Pt1 0.5000 0.5000 0.3303 1

---

# AcAgPt2 | the Alexandria database | PBE | relaxed
# electronic total energy: -87.4 eV per cell
# spin magnetization: 0.00 μB/f.u.
# formation energy from the elements: -0.70 eV per atom
data_AcAgPt2
_space_group_name_H-M_alt 'P 1'
_space_group_IT_number 1
_cell_length_a 4.4452
_cell_length_b 7.8645
_cell_length_c 10.5817
_cell_angle_alpha 90.00
_cell_angle_beta 90.00
_cell_angle_gamma 90.00
loop_
_space_group_symop_operation_xyz
'x,y,z'
loop_
_atom_site_label
_atom_site_fract_x
_atom_site_fract_y
_atom_site_fract_z
_atom_site_occupancy
Pt1 0.7500 0.2490 0.0668 1
Pt2 0.7500 0.8704 0.8239 1
Pt3 0.7500 0.7490 0.4332 1
Pt4 0.2500 0.6296 0.3239 1
Pt5 0.2500 0.2510 0.5668 1
Pt6 0.7500 0.3704 0.6761 1
Pt7 0.2500 0.7510 0.9332 1
Pt8 0.2500 0.1296 0.1761 1
Ac1 0.7500 0.8444 0.1436 1
Ac2 0.7500 0.3444 0.3564 1
Ac3 0.2500 0.1556 0.8564 1
Ac4 0.2500 0.6556 0.6436 1
Ag1 0.7500 0.0271 0.5922 1
Ag2 0.2500 0.4729 0.0922 1
Ag3 0.7500 0.5271 0.9078 1
Ag4 0.2500 0.9729 0.4078 1

---

# Ac7AgPt4 | the Alexandria database | PBE | relaxed
# electronic total energy: -65.6 eV per cell
# spin magnetization: 0.00 μB/f.u.
# formation energy from the elements: -0.82 eV per atom
data_Ac7AgPt4
_space_group_name_H-M_alt 'P 1'
_space_group_IT_number 1
_cell_length_a 4.2737
_cell_length_b 7.6584
_cell_length_c 13.3147
_cell_angle_alpha 102.78
_cell_angle_beta 90.00
_cell_angle_gamma 106.20
loop_
_space_group_symop_operation_xyz
'x,y,z'
loop_
_atom_site_label
_atom_site_fract_x
_atom_site_fract_y
_atom_site_fract_z
_atom_site_occupancy
Pt1 0.1196 0.2391 0.4215 1
Pt2 0.0032 0.0064 0.0029 1
Pt3 0.3034 0.6069 0.1753 1
Pt4 0.6988 0.3976 0.8232 1
Ac1 0.3494 0.6988 0.9493 1
Ac2 0.5058 0.0116 0.4923 1
Ac3 0.7379 0.4759 0.3504 1
Ac4 0.6573 0.3146 0.0502 1
Ac5 0.0423 0.0847 0.7913 1
Ac6 0.9597 0.9193 0.2148 1
Ac7 0.2424 0.4849 0.6483 1
Ag1 0.8802 0.7604 0.5807 1

---

# Ac4AgPt | the Alexandria database | PBE | relaxed
# electronic total energy: -56.3 eV per cell
# spin magnetization: 0.00 μB/f.u.
# formation energy from the elements: -0.47 eV per atom
data_Ac4AgPt
_space_group_name_H-M_alt 'P 1'
_space_group_IT_number 1
_cell_length_a 6.8618
_cell_length_b 7.7402
_cell_length_c 8.6542
_cell_angle_alpha 90.00
_cell_angle_beta 108.66
_cell_angle_gamma 90.00
loop_
_space_group_symop_operation_xyz
'x,y,z'
loop_
_atom_site_label
_atom_site_fract_x
_atom_site_fract_y
_atom_site_fract_z
_atom_site_occupancy
Ac1 0.0077 0.9985 0.7321 1
Ac2 0.9923 0.4985 0.2679 1
Ac3 0.4339 0.7500 0.1215 1
Ac4 0.4440 0.7500 0.5978 1
Ac5 0.5560 0.2500 0.4022 1
Ac6 0.5661 0.2500 0.8785 1
Ac7 0.9923 0.0015 0.2679 1
Ac8 0.0077 0.5015 0.7321 1
Ag1 0.7975 0.7500 0.9490 1
Ag2 0.2025 0.2500 0.0510 1
Pt1 0.7893 0.7500 0.4472 1
Pt2 0.2107 0.2500 0.5528 1

---

# Ac4AgPt | the Alexandria database | PBE | relaxed
# electronic total energy: -54.8 eV per cell
# spin magnetization: 0.00 μB/f.u.
# formation energy from the elements: -0.35 eV per atom
data_Ac4AgPt
_space_group_name_H-M_alt 'P 1'
_space_group_IT_number 1
_cell_length_a 8.6864
_cell_length_b 8.6864
_cell_length_c 8.6864
_cell_angle_alpha 106.85
_cell_angle_beta 106.85
_cell_angle_gamma 114.85
loop_
_space_group_symop_operation_xyz
'x,y,z'
loop_
_atom_site_label
_atom_site_fract_x
_atom_site_fract_y
_atom_site_fract_z
_atom_site_occupancy
Ac1 0.7096 0.5140 0.1957 1
Ac2 0.3183 0.5140 0.8043 1
Ac3 0.2640 0.5683 0.3043 1
Ac4 0.7359 0.4387 0.7027 1
Ac5 0.2640 0.9596 0.6957 1
Ac6 0.7359 0.0332 0.2973 1
Ac7 0.7832 0.9859 0.7973 1
Ac8 0.1887 0.9859 0.2027 1
Pt1 0.7513 0.7513 0.0000 1
Pt2 0.5013 0.0013 0.5000 1
Ag1 0.9989 0.4989 0.5000 1
Ag2 0.2489 0.2489 0.0000 1

---

# AcAgPt | the Alexandria database | PBE | relaxed
# electronic total energy: -30.4 eV per cell
# spin magnetization: 0.00 μB/f.u.
# formation energy from the elements: -0.73 eV per atom
data_AcAgPt
_space_group_name_H-M_alt 'P 1'
_space_group_IT_number 1
_cell_length_a 4.0098
_cell_length_b 4.5631
_cell_length_c 8.6234
_cell_angle_alpha 90.00
_cell_angle_beta 90.00
_cell_angle_gamma 90.00
loop_
_space_group_symop_operation_xyz
'x,y,z'
loop_
_atom_site_label
_atom_site_fract_x
_atom_site_fract_y
_atom_site_fract_z
_atom_site_occupancy
Pt1 0.8116 0.7161 0.8024 1
Pt2 0.8116 0.2161 0.9905 1
Ac1 0.3116 0.7162 0.1080 1
Ac2 0.3116 0.2162 0.6848 1
Ag1 0.8116 0.2163 0.3096 1
Ag2 0.8116 0.7163 0.4833 1

---

# AcAgPt | the Alexandria database | PBE | relaxed
# electronic total energy: -11.6 eV per cell
# spin magnetization: 0.00 μB/f.u.
# formation energy from the elements: 0.47 eV per atom
data_AcAgPt
_space_group_name_H-M_alt 'P 1'
_space_group_IT_number 1
_cell_length_a 3.8490
_cell_length_b 3.8490
_cell_length_c 7.5144
_cell_angle_alpha 104.84
_cell_angle_beta 104.84
_cell_angle_gamma 90.00
loop_
_space_group_symop_operation_xyz
'x,y,z'
loop_
_atom_site_label
_atom_site_fract_x
_atom_site_fract_y
_atom_site_fract_z
_atom_site_occupancy
Ac1 0.1344 0.1344 0.2687 1
Ag1 0.7627 0.7627 0.5253 1
Pt1 0.9530 0.9530 0.9060 1

---

# Ac4Ag3Pt | the Alexandria database | PBE | relaxed
# electronic total energy: -34.9 eV per cell
# spin magnetization: 0.00 μB/f.u.
# formation energy from the elements: -0.49 eV per atom
data_Ac4Ag3Pt
_space_group_name_H-M_alt 'P 1'
_space_group_IT_number 1
_cell_length_a 4.2553
_cell_length_b 4.9478
_cell_length_c 11.7943
_cell_angle_alpha 90.00
_cell_angle_beta 90.00
_cell_angle_gamma 90.00
loop_
_space_group_symop_operation_xyz
'x,y,z'
loop_
_atom_site_label
_atom_site_fract_x
_atom_site_fract_y
_atom_site_fract_z
_atom_site_occupancy
Ag1 0.0000 0.5000 0.5733 1
Ag2 0.0000 0.0000 0.4216 1
Ag3 0.5000 0.0000 0.9223 1
Ac1 0.0000 0.0000 0.1355 1
Ac2 0.5000 0.0000 0.6399 1
Ac3 0.0000 0.5000 0.8749 1
Ac4 0.5000 0.5000 0.3484 1
Pt1 0.5000 0.5000 0.0840 1

---

# Ac2AgPt | the Alexandria database | PBE | relaxed
# electronic total energy: -19.9 eV per cell
# spin magnetization: 0.00 μB/f.u.
# formation energy from the elements: -0.70 eV per atom
data_Ac2AgPt
_space_group_name_H-M_alt 'P 1'
_space_group_IT_number 1
_cell_length_a 4.4426
_cell_length_b 4.4426
_cell_length_c 8.1457
_cell_angle_alpha 74.18
_cell_angle_beta 74.18
_cell_angle_gamma 60.00
loop_
_space_group_symop_operation_xyz
'x,y,z'
loop_
_atom_site_label
_atom_site_fract_x
_atom_site_fract_y
_atom_site_fract_z
_atom_site_occupancy
Ag1 0.5005 0.5005 0.4984 1
Ac1 0.0726 0.0726 0.7823 1
Ac2 0.2610 0.2610 0.2171 1
Pt1 0.6659 0.6659 0.0023 1

---

# Ac2Ag2Pt15 | the Alexandria database | PBE | relaxed
# electronic total energy: -113.6 eV per cell
# spin magnetization: 0.00 μB/f.u.
# formation energy from the elements: -0.48 eV per atom
data_Ac2Ag2Pt15
_space_group_name_H-M_alt 'P 1'
_space_group_IT_number 1
_cell_length_a 7.0703
_cell_length_b 7.0703
_cell_length_c 7.0703
_cell_angle_alpha 83.96
_cell_angle_beta 83.96
_cell_angle_gamma 83.96
loop_
_space_group_symop_operation_xyz
'x,y,z'
loop_
_atom_site_label
_atom_site_fract_x
_atom_site_fract_y
_atom_site_fract_z
_atom_site_occupancy
Pt1 0.1600 0.6563 0.6563 1
Pt2 0.3437 0.8400 0.3437 1
Pt3 0.0000 0.5000 0.0000 1
Pt4 0.0000 0.3095 0.6905 1
Pt5 0.0000 0.0000 0.5000 1
Pt6 0.3437 0.3437 0.8400 1
Pt7 0.3095 0.6905 0.0000 1
Pt8 0.8400 0.3437 0.3437 1
Pt9 0.6905 0.3095 0.0000 1
Pt10 0.6563 0.6563 0.1600 1
Pt11 0.6563 0.1600 0.6563 1
Pt12 0.6905 0.0000 0.3095 1
Pt13 0.5000 0.0000 0.0000 1
Pt14 0.0000 0.6905 0.3095 1
Pt15 0.3095 0.0000 0.6905 1
Ac1 0.6576 0.6576 0.6576 1
Ac2 0.3424 0.3424 0.3424 1
Ag1 0.0991 0.0991 0.0991 1
Ag2 0.9009 0.9009 0.9009 1